(1)
Entry from Alexandria via LeMat-Bulk: a PBEsol-optimized structure of Cd2CoP (meta-GGA SCAN).

CIF file:
```
data_Cd2CoP
_cell_length_a 2.858
_cell_length_b 4.940
_cell_length_c 4.643
_cell_angle_alpha 90.00
_cell_angle_beta 93.42
_cell_angle_gamma 90.00
_space_group_name_H-M_alt 'P 1'
_space_group_IT_number 1
loop_
_space_group_symop_operation_xyz
'x,y,z'
loop_
_atom_site_label
_atom_site_type_symbol
_atom_site_fract_x
_atom_site_fract_y
_atom_site_fract_z
Cd1 Cd 0.236 0.000 0.255
Cd2 Cd 0.764 0.000 0.745
Co1 Co 0.500 0.500 0.500
P1 P 0.000 0.500 0.000
```

Properties
Mass density (g cm⁻³): 7.99
Space-group type: No. 10
Formation enthalpy at 0 K (meV/atom): 447

(2)
Entry from Alexandria via LeMat-Bulk: a PBEsol-optimized structure of CaTiNb3 (meta-GGA SCAN).

CIF file:
```
data_CaTiNb3
_cell_length_a 4.791
_cell_length_b 4.791
_cell_length_c 4.791
_cell_angle_alpha 90.00
_cell_angle_beta 90.00
_cell_angle_gamma 90.00
_space_group_name_H-M_alt 'P 1'
_space_group_IT_number 1
loop_
_space_group_symop_operation_xyz
'x,y,z'
loop_
_atom_site_label
_atom_site_type_symbol
_atom_site_fract_x
_atom_site_fract_y
_atom_site_fract_z
Ca1 Ca 0.000 0.000 0.000
Ti1 Ti 0.500 0.500 0.500
Nb1 Nb 0.000 0.500 0.500
Nb2 Nb 0.500 0.000 0.500
Nb3 Nb 0.500 0.500 0.000
```

Properties
Mass density (g cm⁻³): 5.54
Space-group type: No. 221
Formation enthalpy at 0 K (meV/atom): 1023

(3)
Entry from Alexandria via LeMat-Bulk: a PBEsol-optimized structure of CoRePb2 (meta-GGA SCAN).

CIF file:
```
data_CoRePb2
_cell_length_a 8.731
_cell_length_b 3.091
_cell_length_c 5.600
_cell_angle_alpha 90.00
_cell_angle_beta 105.49
_cell_angle_gamma 90.00
_space_group_name_H-M_alt 'P 1'
_space_group_IT_number 1
loop_
_space_group_symop_operation_xyz
'x,y,z'
loop_
_atom_site_label
_atom_site_type_symbol
_atom_site_fract_x
_atom_site_fract_y
_atom_site_fract_z
Co1 Co 0.000 0.000 0.000
Co2 Co 0.500 0.500 0.000
Re1 Re 0.000 0.500 0.500
Re2 Re 0.500 0.000 0.500
Pb1 Pb 0.239 0.500 0.241
Pb2 Pb 0.261 0.000 0.759
Pb3 Pb 0.739 0.000 0.241
Pb4 Pb 0.761 0.500 0.759
```

Properties
Mass density (g cm⁻³): 15.04
Space-group type: No. 12
Formation enthalpy at 0 K (meV/atom): 1085

(4)
Entry from Alexandria via LeMat-Bulk: a PBEsol-optimized structure of KCSN (meta-GGA SCAN).

CIF file:
```
data_KCSN
_cell_length_a 7.653
_cell_length_b 7.718
_cell_length_c 6.313
_cell_angle_alpha 90.00
_cell_angle_beta 90.00
_cell_angle_gamma 90.00
_space_group_name_H-M_alt 'P 1'
_space_group_IT_number 1
loop_
_space_group_symop_operation_xyz
'x,y,z'
loop_
_atom_site_label
_atom_site_type_symbol
_atom_site_fract_x
_atom_site_fract_y
_atom_site_fract_z
K1 K 0.206 0.006 0.250
K2 K 0.206 0.494 0.750
K3 K 0.794 0.506 0.250
K4 K 0.794 0.994 0.750
C1 C 0.238 0.030 0.750
C2 C 0.238 0.470 0.250
C3 C 0.762 0.530 0.750
C4 C 0.762 0.970 0.250
S1 S 0.385 0.622 0.250
S2 S 0.385 0.878 0.750
S3 S 0.615 0.122 0.250
S4 S 0.615 0.378 0.750
N1 N 0.128 0.139 0.750
N2 N 0.128 0.361 0.250
N3 N 0.872 0.639 0.750
N4 N 0.872 0.861 0.250
```

Properties
Mass density (g cm⁻³): 1.73
Space-group type: No. 57
Formation energy without anion corrections (eV per atom): -0.489

(5)
Entry from Alexandria via LeMat-Bulk: a PBEsol-optimized structure of HfBeAl3 (meta-GGA SCAN).

CIF file:
```
data_HfBeAl3
_cell_length_a 4.341
_cell_length_b 4.341
_cell_length_c 4.341
_cell_angle_alpha 90.00
_cell_angle_beta 90.00
_cell_angle_gamma 90.00
_space_group_name_H-M_alt 'P 1'
_space_group_IT_number 1
loop_
_space_group_symop_operation_xyz
'x,y,z'
loop_
_atom_site_label
_atom_site_type_symbol
_atom_site_fract_x
_atom_site_fract_y
_atom_site_fract_z
Hf1 Hf 0.000 0.000 0.000
Be1 Be 0.500 0.500 0.500
Al1 Al 0.000 0.500 0.500
Al2 Al 0.500 0.000 0.500
Al3 Al 0.500 0.500 0.000
```

Properties
Mass density (g cm⁻³): 5.45
Space-group type: No. 221
Formation enthalpy at 0 K (meV/atom): 391

(6)
Entry from Alexandria via LeMat-Bulk: a PBEsol-optimized structure of SrPt4Au (meta-GGA SCAN).

CIF file:
```
data_SrPt4Au
_cell_length_a 5.341
_cell_length_b 5.341
_cell_length_c 5.341
_cell_angle_alpha 60.00
_cell_angle_beta 60.00
_cell_angle_gamma 60.00
_space_group_name_H-M_alt 'P 1'
_space_group_IT_number 1
loop_
_space_group_symop_operation_xyz
'x,y,z'
loop_
_atom_site_label
_atom_site_type_symbol
_atom_site_fract_x
_atom_site_fract_y
_atom_site_fract_z
Sr1 Sr 0.000 0.000 0.000
Pt1 Pt 0.126 0.625 0.625
Pt2 Pt 0.625 0.126 0.625
Pt3 Pt 0.625 0.625 0.126
Pt4 Pt 0.625 0.625 0.625
Au1 Au 0.250 0.250 0.250
```

Properties
Mass density (g cm⁻³): 16.41
Space-group type: No. 216
Formation enthalpy at 0 K (meV/atom): -479

(7)
Entry from Alexandria via LeMat-Bulk: a PBEsol-optimized structure of Tc3PtCl (meta-GGA SCAN).

CIF file:
```
data_Tc3PtCl
_cell_length_a 4.236
_cell_length_b 4.236
_cell_length_c 4.236
_cell_angle_alpha 90.00
_cell_angle_beta 90.00
_cell_angle_gamma 90.00
_space_group_name_H-M_alt 'P 1'
_space_group_IT_number 1
loop_
_space_group_symop_operation_xyz
'x,y,z'
loop_
_atom_site_label
_atom_site_type_symbol
_atom_site_fract_x
_atom_site_fract_y
_atom_site_fract_z
Tc1 Tc 0.000 0.000 0.500
Tc2 Tc 0.000 0.500 0.000
Tc3 Tc 0.500 0.000 0.000
Pt1 Pt 0.500 0.500 0.500
Cl1 Cl 0.000 0.000 0.000
```

Properties
Mass density (g cm⁻³): 11.46
Space-group type: No. 221
Formation energy without anion corrections (eV per atom): 1.073

(8)
Entry from Alexandria via LeMat-Bulk: a PBEsol-optimized structure of As2RuSe (meta-GGA SCAN).

CIF file:
```
data_As2RuSe
_cell_length_a 2.933
_cell_length_b 4.841
_cell_length_c 10.018
_cell_angle_alpha 90.00
_cell_angle_beta 90.00
_cell_angle_gamma 90.00
_space_group_name_H-M_alt 'P 1'
_space_group_IT_number 1
loop_
_space_group_symop_operation_xyz
'x,y,z'
loop_
_atom_site_label
_atom_site_type_symbol
_atom_site_fract_x
_atom_site_fract_y
_atom_site_fract_z
As1 As 0.000 0.000 0.203
As2 As 0.000 0.000 0.797
As3 As 0.500 0.500 0.203
As4 As 0.500 0.500 0.797
Ru1 Ru 0.000 0.500 0.000
Ru2 Ru 0.500 0.000 0.000
Se1 Se 0.000 0.500 0.500
Se2 Se 0.500 0.000 0.500
```

Properties
Mass density (g cm⁻³): 7.70
Space-group type: No. 65
Formation energy without anion corrections (eV per atom): 0.274

(9)
Entry from Alexandria via LeMat-Bulk: a PBEsol-optimized structure of K2Ir2Pb (meta-GGA SCAN).

CIF file:
```
data_K2Ir2Pb
_cell_length_a 3.496
_cell_length_b 3.496
_cell_length_c 22.970
_cell_angle_alpha 90.00
_cell_angle_beta 90.00
_cell_angle_gamma 90.00
_space_group_name_H-M_alt 'P 1'
_space_group_IT_number 1
loop_
_space_group_symop_operation_xyz
'x,y,z'
loop_
_atom_site_label
_atom_site_type_symbol
_atom_site_fract_x
_atom_site_fract_y
_atom_site_fract_z
K1 K 0.000 0.000 0.126
K2 K 0.000 0.000 0.874
K3 K 0.500 0.500 0.374
K4 K 0.500 0.500 0.626
Ir1 Ir 0.000 0.500 0.250
Ir2 Ir 0.000 0.500 0.750
Ir3 Ir 0.500 0.000 0.250
Ir4 Ir 0.500 0.000 0.750
Pb1 Pb 0.000 0.000 0.500
Pb2 Pb 0.500 0.500 0.000
```

Properties
Mass density (g cm⁻³): 7.92
Space-group type: No. 139
Formation enthalpy at 0 K (meV/atom): 286

(10)
Entry from Alexandria via LeMat-Bulk: a PBEsol-optimized structure of AgBiTe2 (meta-GGA SCAN).

CIF file:
```
data_AgBiTe2
_cell_length_a 4.217
_cell_length_b 4.217
_cell_length_c 21.724
_cell_angle_alpha 90.00
_cell_angle_beta 90.00
_cell_angle_gamma 120.00
_space_group_name_H-M_alt 'P 1'
_space_group_IT_number 1
loop_
_space_group_symop_operation_xyz
'x,y,z'
loop_
_atom_site_label
_atom_site_type_symbol
_atom_site_fract_x
_atom_site_fract_y
_atom_site_fract_z
Ag1 Ag 0.000 0.000 0.000
Ag2 Ag 0.333 0.667 0.142
Ag3 Ag 0.667 0.333 0.858
Bi1 Bi 0.000 0.000 0.500
Bi2 Bi 0.333 0.667 0.692
Bi3 Bi 0.667 0.333 0.308
Te1 Te 0.000 0.000 0.219
Te2 Te 0.000 0.000 0.781
Te3 Te 0.333 0.667 0.407
Te4 Te 0.333 0.667 0.927
Te5 Te 0.667 0.333 0.073
Te6 Te 0.667 0.333 0.593
```

Properties
Mass density (g cm⁻³): 8.52
Space-group type: No. 164
Formation energy without anion corrections (eV per atom): -0.047

(11)
Entry from Alexandria via LeMat-Bulk: a PBEsol-optimized structure of SrHf2Te2 (meta-GGA SCAN).

CIF file:
```
data_SrHf2Te2
_cell_length_a 4.115
_cell_length_b 4.115
_cell_length_c 15.771
_cell_angle_alpha 90.00
_cell_angle_beta 90.00
_cell_angle_gamma 90.00
_space_group_name_H-M_alt 'P 1'
_space_group_IT_number 1
loop_
_space_group_symop_operation_xyz
'x,y,z'
loop_
_atom_site_label
_atom_site_type_symbol
_atom_site_fract_x
_atom_site_fract_y
_atom_site_fract_z
Sr1 Sr 0.000 0.000 0.000
Sr2 Sr 0.500 0.500 0.500
Hf1 Hf 0.000 0.500 0.250
Hf2 Hf 0.000 0.500 0.750
Hf3 Hf 0.500 0.000 0.250
Hf4 Hf 0.500 0.000 0.750
Te1 Te 0.000 0.000 0.385
Te2 Te 0.000 0.000 0.615
Te3 Te 0.500 0.500 0.115
Te4 Te 0.500 0.500 0.885
```

Properties
Mass density (g cm⁻³): 8.70
Space-group type: No. 139
Formation energy without anion corrections (eV per atom): -0.781

(12)
Entry from Alexandria via LeMat-Bulk: a PBEsol-optimized structure of LaTa4Br (meta-GGA SCAN).

CIF file:
```
data_LaTa4Br
_cell_length_a 5.697
_cell_length_b 5.697
_cell_length_c 5.697
_cell_angle_alpha 60.00
_cell_angle_beta 60.00
_cell_angle_gamma 60.00
_space_group_name_H-M_alt 'P 1'
_space_group_IT_number 1
loop_
_space_group_symop_operation_xyz
'x,y,z'
loop_
_atom_site_label
_atom_site_type_symbol
_atom_site_fract_x
_atom_site_fract_y
_atom_site_fract_z
La1 La 0.000 0.000 0.000
Ta1 Ta 0.370 0.370 0.370
Ta2 Ta 0.370 0.370 0.890
Ta3 Ta 0.370 0.890 0.370
Ta4 Ta 0.890 0.370 0.370
Br1 Br 0.750 0.750 0.750
```

Properties
Mass density (g cm⁻³): 11.97
Space-group type: No. 216
Formation energy without anion corrections (eV per atom): 0.725

(13)
Entry from Alexandria via LeMat-Bulk: a PBEsol-optimized structure of MgI2NO (meta-GGA SCAN).

CIF file:
```
data_MgI2NO
_cell_length_a 5.666
_cell_length_b 5.666
_cell_length_c 4.001
_cell_angle_alpha 90.00
_cell_angle_beta 90.00
_cell_angle_gamma 90.00
_space_group_name_H-M_alt 'P 1'
_space_group_IT_number 1
loop_
_space_group_symop_operation_xyz
'x,y,z'
loop_
_atom_site_label
_atom_site_type_symbol
_atom_site_fract_x
_atom_site_fract_y
_atom_site_fract_z
Mg1 Mg 0.000 0.000 0.000
I1 I 0.000 0.500 0.000
I2 I 0.500 0.000 0.000
N1 N 0.000 0.000 0.500
O1 O 0.500 0.500 0.500
```

Properties
Mass density (g cm⁻³): 3.98
Space-group type: No. 123
Formation energy without anion corrections (eV per atom): 0.742